[1]
DFT (PBE) results for a relaxed Ac7Ni2Ru2 crystal.

## Properties
N(E_F)	21.09	states/eV per cell
DFT formation energy	-0.10	eV/atom
uncorrected energy	-5.45	eV/atom

a b c (Å): 7.5493 10.5546 8.5731
angles (deg): 90.00 92.81 90.00
Space group C2/m (No. 12)
Inequivalent atoms, fractional coordinates:
1 Ac 0.0000 0.0000 0.0000 (multiplicity 2)
2 Ac 0.1536 0.3099 0.2059 (multiplicity 8)
3 Ac 0.2450 0.0000 0.4153 (multiplicity 4)
4 Ni 0.0000 0.2493 0.5000 (multiplicity 4)
5 Ru 0.1493 0.5000 0.9093 (multiplicity 4)


[2]
DFT (PBE) results for a relaxed Ac8Ni3Ru crystal.

## Properties
N(E_F)	11.12	states/eV per cell
DFT formation energy	-0.18	eV/atom
uncorrected energy	-5.14	eV/atom

a b c (Å): 8.3685 8.3699 8.3802
angles (deg): 62.28 62.33 62.29
Space group P-1 (No. 2)
Inequivalent atoms, fractional coordinates:
1 Ac 0.2425 0.2418 0.2420 (multiplicity 2)
2 Ac 0.2505 0.7427 0.7432 (multiplicity 2)
3 Ac 0.2564 0.7505 0.2574 (multiplicity 2)
4 Ac 0.2567 0.2573 0.7503 (multiplicity 2)
5 Ni 0.0000 0.0000 0.5000 (multiplicity 1)
6 Ni 0.0000 0.5000 0.0000 (multiplicity 1)
7 Ni 0.5000 0.0000 0.0000 (multiplicity 1)
8 Ru 0.5000 0.5000 0.5000 (multiplicity 1)


[3]
DFT (PBE) results for a relaxed Ac2NiRu2 crystal.

## Properties
N(E_F)	28.63	states/eV per cell
DFT formation energy	0.00	eV/atom
uncorrected energy	-6.51	eV/atom

a b c (Å): 9.0599 5.8871 8.7352
angles (deg): 90.00 101.48 90.00
Space group C2/c (No. 15)
Inequivalent atoms, fractional coordinates:
1 Ac 0.1543 0.1272 0.1538 (multiplicity 8)
2 Ni 0.0000 0.3849 0.7500 (multiplicity 4)
3 Ru 0.1285 0.3748 0.5038 (multiplicity 8)


[4]
DFT (PBE) results for a relaxed Ac16Ni5Ru3 crystal.

## Properties
N(E_F)	48.67	states/eV per cell
DFT formation energy	-0.18	eV/atom
uncorrected energy	-5.28	eV/atom

a b c (Å): 14.7472 8.5565 13.8431
angles (deg): 90.00 90.06 90.00
Space group Cm (No. 8)
Inequivalent atoms, fractional coordinates:
1 Ac 0.0000 0.0000 0.0000 (multiplicity 2)
2 Ac 0.0014 0.0000 0.4988 (multiplicity 2)
3 Ac 0.0126 0.5000 0.5046 (multiplicity 2)
4 Ac 0.0809 0.2480 0.7652 (multiplicity 4)
5 Ac 0.1658 0.0000 0.2656 (multiplicity 2)
6 Ac 0.1710 0.5000 0.2676 (multiplicity 2)
7 Ac 0.2479 0.2649 0.5099 (multiplicity 4)
8 Ac 0.2557 0.2355 0.0074 (multiplicity 4)
9 Ac 0.3361 0.5000 0.7671 (multiplicity 2)
10 Ac 0.3371 0.0000 0.7681 (multiplicity 2)
11 Ac 0.4168 0.2550 0.2638 (multiplicity 4)
12 Ac 0.4922 0.0000 0.0098 (multiplicity 2)
13 Ni 0.0858 0.2504 0.3831 (multiplicity 4)
14 Ni 0.1646 0.5000 0.6417 (multiplicity 2)
15 Ni 0.1677 0.0000 0.8829 (multiplicity 2)
16 Ni 0.3305 0.0000 0.1455 (multiplicity 2)
17 Ru 0.3349 0.5000 0.3864 (multiplicity 2)
18 Ru 0.4181 0.2492 0.8864 (multiplicity 4)


[5]
DFT (PBE) results for a relaxed Ac6Ni3Ru crystal.

## Properties
N(E_F)	14.04	states/eV per cell
DFT formation energy	-0.17	eV/atom
uncorrected energy	-5.30	eV/atom

a b c (Å): 7.1794 7.8801 13.0713
angles (deg): 90.00 121.93 90.00
Space group P2_1/c (No. 14)
Inequivalent atoms, fractional coordinates:
1 Ac 0.0894 0.0607 0.2478 (multiplicity 4)
2 Ac 0.2552 0.6831 0.0811 (multiplicity 4)
3 Ac 0.3993 0.1802 0.0756 (multiplicity 4)
4 Ni 0.3103 0.1073 0.7592 (multiplicity 4)
5 Ni 0.5000 0.0000 0.5000 (multiplicity 2)
6 Ru 0.0000 0.0000 0.0000 (multiplicity 2)


[6]
DFT (PBE) results for a relaxed Ac2Ni2Ru crystal.

## Properties
N(E_F)	17.38	states/eV per cell
DFT formation energy	-0.17	eV/atom
uncorrected energy	-5.99	eV/atom

a b c (Å): 11.1314 4.2542 11.0055
angles (deg): 90.00 114.25 90.00
Space group C2/m (No. 12)
Inequivalent atoms, fractional coordinates:
1 Ac 0.0998 0.0000 0.3927 (multiplicity 4)
2 Ac 0.2033 0.5000 0.1365 (multiplicity 4)
3 Ni 0.0333 0.0000 0.9095 (multiplicity 4)
4 Ni 0.0987 0.5000 0.6073 (multiplicity 4)
5 Ru 0.0668 0.5000 0.8155 (multiplicity 4)


[7]
DFT (PBE) results for a relaxed Ac4NiRu crystal.

## Properties
N(E_F)	6.11	states/eV per cell
DFT formation energy	-0.19	eV/atom
uncorrected energy	-5.43	eV/atom
ΔE to the lowest computed polymorph	0	meV per atom

a b c (Å): 6.9031 4.3204 7.4377
angles (deg): 90.00 90.24 90.00
Space group P2/m (No. 10)
Inequivalent atoms, fractional coordinates:
1 Ac 0.2262 0.0000 0.1689 (multiplicity 2)
2 Ac 0.2312 0.5000 0.6634 (multiplicity 2)
3 Ni 0.0000 0.5000 0.0000 (multiplicity 1)
4 Ru 0.0000 0.0000 0.5000 (multiplicity 1)


[8]
DFT (PBE) results for a relaxed Ac12NiRu4 crystal.

## Properties
N(E_F)	28.75	states/eV per cell
DFT formation energy	-0.04	eV/atom
uncorrected energy	-5.46	eV/atom

a b c (Å): 11.0738 11.1095 11.1163
angles (deg): 90.00 90.00 90.00
Space group Immm (No. 71)
Inequivalent atoms, fractional coordinates:
1 Ac 0.0000 0.1814 0.1966 (multiplicity 8)
2 Ac 0.1914 0.5000 0.1835 (multiplicity 8)
3 Ac 0.1983 0.3167 0.5000 (multiplicity 8)
4 Ni 0.0000 0.0000 0.0000 (multiplicity 2)
5 Ru 0.2500 0.2500 0.2500 (multiplicity 8)


[9]
DFT (PBE) results for a relaxed Ac8NiRu2 crystal.

## Properties
N(E_F)	22.46	states/eV per cell
DFT formation energy	-0.08	eV/atom
uncorrected energy	-5.28	eV/atom
ΔE to the lowest computed polymorph	0	meV per atom

a b c (Å): 13.4059 9.0933 7.0387
angles (deg): 90.00 109.83 90.00
Space group C2/m (No. 12)
Inequivalent atoms, fractional coordinates:
1 Ac 0.1129 0.0000 0.2413 (multiplicity 4)
2 Ac 0.1221 0.2873 0.7592 (multiplicity 8)
3 Ac 0.1502 0.5000 0.2631 (multiplicity 4)
4 Ni 0.0000 0.0000 0.5000 (multiplicity 2)
5 Ru 0.1789 0.0000 0.8798 (multiplicity 4)


[10]
DFT (PBE) results for a relaxed Ac6NiRu crystal.

## Properties
N(E_F)	25.59	states/eV per cell
DFT formation energy	-0.14	eV/atom
uncorrected energy	-5.10	eV/atom
ΔE to the lowest computed polymorph	0	meV per atom

a b c (Å): 7.2384 7.2384 20.6757
angles (deg): 90.00 90.00 120.00
Space group R-3 (No. 148, hexagonal axes)
Inequivalent atoms, fractional coordinates:
1 Ac 0.0022 0.3385 0.2498 (multiplicity 18)
2 Ni 0.0000 0.0000 0.0000 (multiplicity 3)
3 Ru 0.0000 0.0000 0.5000 (multiplicity 3)


[11]
DFT (PBE) results for a relaxed Ac6NiRu crystal.

## Properties
N(E_F)	20.78	states/eV per cell
DFT formation energy	-0.12	eV/atom
uncorrected energy	-5.09	eV/atom
ΔE to the lowest computed polymorph	13	meV per atom

a b c (Å): 7.2860 12.5326 7.2819
angles (deg): 90.00 108.01 90.00
Space group C2/m (No. 12)
Inequivalent atoms, fractional coordinates:
1 Ac 0.2420 0.1613 0.2492 (multiplicity 8)
2 Ac 0.2446 0.5000 0.2478 (multiplicity 4)
3 Ni 0.0000 0.5000 0.5000 (multiplicity 2)
4 Ru 0.0000 0.0000 0.0000 (multiplicity 2)


[12]
DFT (PBE) results for a relaxed Ac4NiRu crystal.

## Properties
N(E_F)	22.61	states/eV per cell
DFT formation energy	-0.12	eV/atom
uncorrected energy	-5.36	eV/atom
ΔE to the lowest computed polymorph	70	meV per atom

a b c (Å): 10.2594 15.9768 7.2451
angles (deg): 90.00 134.60 90.00
Space group C2/c (No. 15)
Inequivalent atoms, fractional coordinates:
1 Ac 0.1959 0.2005 0.1997 (multiplicity 8)
2 Ac 0.2432 0.0511 0.7996 (multiplicity 8)
3 Ni 0.0000 0.3284 0.7500 (multiplicity 4)
4 Ru 0.0000 0.0853 0.2500 (multiplicity 4)


[13]
DFT (PBE) results for a relaxed Ac2Ni3Sb4Ru crystal.

## Properties
N(E_F)	7.09	states/eV per cell
uncorrected formation energy	-0.605	eV per atom
uncorrected energy	-5.74	eV/atom

a b c (Å): 4.6101 4.6101 10.2660
angles (deg): 90.00 90.00 90.00
Space group P-4m2 (No. 115)
Inequivalent atoms, fractional coordinates:
1 Ac 0.0000 0.5000 0.2442 (multiplicity 2)
2 Ni 0.0000 0.0000 0.0000 (multiplicity 1)
3 Ni 0.0000 0.5000 0.6183 (multiplicity 2)
4 Sb 0.0000 0.0000 0.5000 (multiplicity 1)
5 Sb 0.0000 0.5000 0.8705 (multiplicity 2)
6 Sb 0.5000 0.5000 0.5000 (multiplicity 1)
7 Ru 0.5000 0.5000 0.0000 (multiplicity 1)


[14]
DFT (PBE) results for a relaxed AcScNiRu crystal.

## Properties
N(E_F)	17.86	states/eV per cell
DFT formation energy	-0.15	eV/atom
uncorrected energy	-6.52	eV/atom

a b c (Å): 6.8960 6.8960 6.8960
angles (deg): 90.00 90.00 90.00
Space group F-43m (No. 216)
Inequivalent atoms, fractional coordinates:
1 Ac 0.0000 0.0000 0.0000 (multiplicity 4)
2 Sc 0.0000 0.0000 0.5000 (multiplicity 4)
3 Ni 0.2500 0.2500 0.7500 (multiplicity 4)
4 Ru 0.2500 0.2500 0.2500 (multiplicity 4)


[15]
DFT (PBE) results for a relaxed AcSi2NiRu crystal.

## Properties
N(E_F)	6.37	states/eV per cell
uncorrected formation energy	-0.709	eV per atom
uncorrected energy	-6.71	eV/atom

a b c (Å): 4.0929 4.0929 10.9912
angles (deg): 90.00 90.00 90.00
Space group I-4m2 (No. 119)
Inequivalent atoms, fractional coordinates:
1 Ac 0.0000 0.0000 0.0000 (multiplicity 2)
2 Si 0.0000 0.0000 0.3590 (multiplicity 4)
3 Ni 0.0000 0.5000 0.7500 (multiplicity 2)
4 Ru 0.0000 0.5000 0.2500 (multiplicity 2)


[16]
DFT (PBE) results for a relaxed Ac2Si4Ni3Ru crystal.

## Properties
N(E_F)	5.68	states/eV per cell
uncorrected formation energy	-0.694	eV per atom
uncorrected energy	-6.35	eV/atom

a b c (Å): 4.1410 4.1410 10.2401
angles (deg): 90.00 90.00 90.00
Space group P-4m2 (No. 115)
Inequivalent atoms, fractional coordinates:
1 Ac 0.0000 0.5000 0.2417 (multiplicity 2)
2 Si 0.0000 0.0000 0.0000 (multiplicity 1)
3 Si 0.0000 0.5000 0.6212 (multiplicity 2)
4 Si 0.5000 0.5000 0.0000 (multiplicity 1)
5 Ni 0.0000 0.5000 0.8834 (multiplicity 2)
6 Ni 0.5000 0.5000 0.5000 (multiplicity 1)
7 Ru 0.0000 0.0000 0.5000 (multiplicity 1)


[17]
DFT (PBE) results for a relaxed AcSmNiRu crystal.

## Properties
N(E_F)	18.03	states/eV per cell
DFT formation energy	-0.11	eV/atom
uncorrected energy	-6.08	eV/atom

a b c (Å): 7.1514 7.1514 7.1514
angles (deg): 90.00 90.00 90.00
Space group F-43m (No. 216)
Inequivalent atoms, fractional coordinates:
1 Ac 0.0000 0.0000 0.0000 (multiplicity 4)
2 Sm 0.0000 0.0000 0.5000 (multiplicity 4)
3 Ni 0.2500 0.2500 0.2500 (multiplicity 4)
4 Ru 0.2500 0.2500 0.7500 (multiplicity 4)


[18]
DFT (PBE) results for a relaxed Ac2Ni3Sn4Ru crystal.

## Properties
N(E_F)	7.03	states/eV per cell
DFT formation energy	-0.48	eV/atom
uncorrected energy	-5.56	eV/atom

a b c (Å): 4.5350 4.5350 10.6853
angles (deg): 90.00 90.00 90.00
Space group P-4m2 (No. 115)
Inequivalent atoms, fractional coordinates:
1 Ac 0.0000 0.5000 0.2467 (multiplicity 2)
2 Ni 0.0000 0.0000 0.0000 (multiplicity 1)
3 Ni 0.0000 0.5000 0.6279 (multiplicity 2)
4 Sn 0.0000 0.0000 0.5000 (multiplicity 1)
5 Sn 0.0000 0.5000 0.8714 (multiplicity 2)
6 Sn 0.5000 0.5000 0.5000 (multiplicity 1)
7 Ru 0.5000 0.5000 0.0000 (multiplicity 1)


[19]
DFT (PBE) results for a relaxed AcTbNiRu crystal.

## Properties
N(E_F)	17.86	states/eV per cell
DFT formation energy	-0.15	eV/atom
uncorrected energy	-6.10	eV/atom

a b c (Å): 7.0946 7.0946 7.0946
angles (deg): 90.00 90.00 90.00
Space group F-43m (No. 216)
Inequivalent atoms, fractional coordinates:
1 Ac 0.0000 0.0000 0.0000 (multiplicity 4)
2 Tb 0.0000 0.0000 0.5000 (multiplicity 4)
3 Ni 0.2500 0.2500 0.7500 (multiplicity 4)
4 Ru 0.2500 0.2500 0.2500 (multiplicity 4)


[20]
DFT (PBE) results for a relaxed Ac2NiS crystal.

## Properties
N(E_F)	2.31	states/eV per cell
uncorrected formation energy	-0.981	eV per atom
uncorrected energy	-5.51	eV/atom
ΔE to the lowest computed polymorph	104	meV per atom

a b c (Å): 4.1926 4.1926 23.0902
angles (deg): 90.00 90.00 120.00
Space group R3m (No. 160, hexagonal axes)
Inequivalent atoms, fractional coordinates:
1 Ac 0.0000 0.0000 0.0000 (multiplicity 3)
2 Ac 0.0000 0.0000 0.1820 (multiplicity 3)
3 Ni 0.0000 0.0000 0.5920 (multiplicity 3)
4 S 0.0000 0.0000 0.4226 (multiplicity 3)